(1)
Y2MgGa2Ni5 | PBE-GGA | relaxed

Computed properties:
As for the space-group type: P4/mbm (127). The value obtained for the total energy is -5.2899 eV/atom. The value obtained for the spin magnetization is 0.00 μB per atom. The calculated formation energy is -0.34 eV per atom.

Lattice parameters (Å, degrees): 3.5482 9.5510 9.5510 90.00 90.00 90.00
Sites, in units of the cell vectors:
Ni 0.5000 0.5000 0.0000
Ni 0.5000 0.2835 0.5622
Ni 0.5000 0.0000 0.5000
Ni 0.5000 0.7165 0.4378
Ni 0.5000 0.4378 0.2835
Ni 0.5000 0.5622 0.7165
Ni 0.5000 0.7835 0.9378
Ni 0.5000 0.2165 0.0622
Ni 0.5000 0.9378 0.2165
Ni 0.5000 0.0622 0.7835
Y 0.0000 0.1790 0.3210
Y 0.0000 0.8210 0.6790
Y 0.0000 0.3210 0.8210
Y 0.0000 0.6790 0.1790
Ga 0.0000 0.3823 0.1177
Ga 0.0000 0.6177 0.8823
Ga 0.0000 0.1177 0.6177
Ga 0.0000 0.8823 0.3823
Mg 0.0000 0.0000 0.0000
Mg 0.0000 0.5000 0.5000



(2)
Mg2Zn2GaNi5 | PBE-GGA | relaxed

Computed properties:
As for the space-group type: P4/mbm (127). The value obtained for the total energy is -3.9503 eV/atom. The value obtained for the spin magnetization is 0.00 μB per atom. The calculated formation energy is -0.18 eV per atom.

Lattice parameters (Å, degrees): 3.4934 8.8345 8.8345 90.00 90.00 90.00
Sites, in units of the cell vectors:
Zn 0.0000 0.8729 0.3729
Zn 0.0000 0.6271 0.8729
Zn 0.0000 0.3729 0.1271
Zn 0.0000 0.1271 0.6271
Ni 0.5000 0.5000 0.0000
Ni 0.5000 0.5660 0.6949
Ni 0.5000 0.9340 0.1949
Ni 0.5000 0.1949 0.0660
Ni 0.5000 0.3051 0.5660
Ni 0.5000 0.6949 0.4340
Ni 0.5000 0.0660 0.8051
Ni 0.5000 0.4340 0.3051
Ni 0.5000 0.8051 0.9340
Ni 0.5000 0.0000 0.5000
Mg 0.0000 0.8284 0.6716
Mg 0.0000 0.6716 0.1716
Mg 0.0000 0.1716 0.3284
Mg 0.0000 0.3284 0.8284
Ga 0.0000 0.5000 0.5000
Ga 0.0000 0.0000 0.0000



(3)
Mg2Zn5GaNi2 | PBE-GGA | relaxed

Computed properties:
As for the space-group type: P4/mbm (127). The value obtained for the total energy is -2.5556 eV/atom. The value obtained for the spin magnetization is 0.00 μB per atom. The calculated formation energy is -0.14 eV per atom.

Lattice parameters (Å, degrees): 3.9448 8.8862 8.8862 90.00 90.00 90.00
Sites, in units of the cell vectors:
Zn 0.5000 0.9264 0.2094
Zn 0.5000 0.5736 0.7094
Zn 0.5000 0.0000 0.5000
Zn 0.5000 0.7906 0.9264
Zn 0.5000 0.2094 0.0736
Zn 0.5000 0.2906 0.5736
Zn 0.5000 0.4264 0.2906
Zn 0.5000 0.5000 0.0000
Zn 0.5000 0.0736 0.7906
Zn 0.5000 0.7094 0.4264
Ni 0.0000 0.6131 0.8869
Ni 0.0000 0.3869 0.1131
Ni 0.0000 0.1131 0.6131
Ni 0.0000 0.8869 0.3869
Mg 0.0000 0.1777 0.3223
Mg 0.0000 0.3223 0.8223
Mg 0.0000 0.6777 0.1777
Mg 0.0000 0.8223 0.6777
Ga 0.0000 0.0000 0.0000
Ga 0.0000 0.5000 0.5000



(4)
MgZnGaNi | PBE-GGA | relaxed

Computed properties:
As for the space-group type: R3m (160). The value obtained for the total energy is -3.1019 eV/atom. The value obtained for the spin magnetization is 0.00 μB per atom. The calculated formation energy is -0.18 eV per atom.

Lattice parameters (Å, degrees): 4.1247 4.1247 5.1250 66.27 66.27 60.00
Sites, in units of the cell vectors:
Mg 0.7970 0.7970 0.6089
Ni 0.9861 0.9861 0.0418
Ga 0.5904 0.5904 0.2287
Zn 0.3524 0.3524 0.9430



(5)
Mg2NpGa6 | PBE-GGA | relaxed

Computed properties:
As for the space-group type: P6/mmm (191). The value obtained for the total energy is -3.9725 eV/atom. The value obtained for the spin magnetization is 0.46 μB per atom. The calculated formation energy is -0.16 eV per atom.

Lattice parameters (Å, degrees): 2.9413 8.1367 8.1366 59.98 90.00 90.00
Sites, in units of the cell vectors:
Ga 0.5000 0.3400 0.6600
Ga 0.4997 0.6600 0.0000
Ga 0.5003 0.3400 0.0000
Ga 0.4997 0.0000 0.6600
Ga 0.5000 0.6600 0.3400
Ga 0.5003 0.0000 0.3400
Mg 0.9999 0.3334 0.3334
Mg 0.0001 0.6666 0.6666
Np 0.0000 0.0000 0.0000



(6)
Mg3NpGa4 | PBE-GGA | relaxed

Computed properties:
As for the space-group type: P4/mmm (123). The value obtained for the total energy is -3.8506 eV/atom. The value obtained for the spin magnetization is 0.55 μB per atom. The calculated formation energy is -0.12 eV per atom.

Lattice parameters (Å, degrees): 4.7373 7.0791 9.4759 90.00 90.00 90.00
Sites, in units of the cell vectors:
Ga 0.9994 0.7635 0.7500
Ga 0.5000 0.2365 0.0000
Ga 0.0006 0.2365 0.2500
Ga 0.5000 0.7635 0.0000
Ga 0.5000 0.2365 0.5000
Ga 0.9994 0.2365 0.7500
Ga 0.0006 0.7635 0.2500
Ga 0.5000 0.7635 0.5000
Mg 0.0000 0.0000 0.0000
Mg 0.5003 0.5000 0.2500
Mg 0.4992 0.0000 0.7500
Mg 0.4997 0.5000 0.7500
Mg 0.0000 0.0000 0.5000
Mg 0.5008 0.0000 0.2500
Np 0.0000 0.5000 0.5000
Np 0.0000 0.5000 0.0000



(7)
MgNp2Ga9 | PBE-GGA | relaxed

Computed properties:
As for the space-group type: P4/mmm (123). The value obtained for the total energy is -4.7166 eV/atom. The value obtained for the spin magnetization is 0.67 μB per atom. The calculated formation energy is -0.16 eV per atom.

Lattice parameters (Å, degrees): 4.2522 4.2522 12.6147 90.00 90.00 90.00
Sites, in units of the cell vectors:
Ga 0.5000 0.5000 0.6616
Ga 0.5000 0.0000 0.5000
Ga 0.0000 0.5000 0.1578
Ga 0.0000 0.5000 0.5000
Ga 0.0000 0.5000 0.8422
Ga 0.5000 0.5000 0.0000
Ga 0.5000 0.0000 0.1578
Ga 0.5000 0.5000 0.3384
Ga 0.5000 0.0000 0.8422
Np 0.0000 0.0000 0.6729
Np 0.0000 0.0000 0.3271
Mg 0.0000 0.0000 0.0000



(8)
Mg2NpGa9 | PBE-GGA | relaxed

Computed properties:
As for the space-group type: P4/mmm (123). The value obtained for the total energy is -3.7256 eV/atom. The value obtained for the spin magnetization is 0.36 μB per atom. The calculated formation energy is -0.11 eV per atom.

Lattice parameters (Å, degrees): 4.2307 4.2307 12.5615 90.00 90.00 90.00
Sites, in units of the cell vectors:
Ga 0.5000 0.5000 0.3351
Ga 0.0000 0.5000 0.8268
Ga 0.0000 0.5000 0.5000
Ga 0.0000 0.5000 0.1732
Ga 0.5000 0.0000 0.8268
Ga 0.5000 0.5000 0.0000
Ga 0.5000 0.0000 0.1732
Ga 0.5000 0.5000 0.6649
Ga 0.5000 0.0000 0.5000
Mg 0.0000 0.0000 0.6658
Mg 0.0000 0.0000 0.3342
Np 0.0000 0.0000 0.0000



(9)
Mg4NpGa15 | PBE-GGA | relaxed

Computed properties:
As for the space-group type: P4/mmm (123). The value obtained for the total energy is -3.3418 eV/atom. The value obtained for the spin magnetization is 0.19 μB per atom. The calculated formation energy is -0.11 eV per atom.

Lattice parameters (Å, degrees): 4.2548 4.2548 20.6509 90.00 90.00 90.00
Sites, in units of the cell vectors:
Ga 0.5000 0.0000 0.6996
Ga 0.0000 0.5000 0.1036
Ga 0.0000 0.5000 0.3004
Ga 0.5000 0.0000 0.1036
Ga 0.0000 0.5000 0.5000
Ga 0.5000 0.5000 0.2059
Ga 0.5000 0.5000 0.7941
Ga 0.5000 0.0000 0.5000
Ga 0.5000 0.0000 0.8964
Ga 0.5000 0.5000 0.4024
Ga 0.5000 0.0000 0.3004
Ga 0.5000 0.5000 0.5976
Ga 0.0000 0.5000 0.6996
Ga 0.5000 0.5000 0.0000
Ga 0.0000 0.5000 0.8964
Mg 0.0000 0.0000 0.7997
Mg 0.0000 0.0000 0.3996
Mg 0.0000 0.0000 0.2003
Mg 0.0000 0.0000 0.6004
Np 0.0000 0.0000 0.0000



(10)
Mg2NpGaO6 | PBE-GGA | relaxed

Computed properties:
As for the space-group type: P2_1/c (14). The value obtained for the total energy is -7.3428 eV/atom. The value obtained for the spin magnetization is 0.20 μB per atom. The calculation puts the formation energy from raw total energies at -236.6 kJ/mol of atoms.

Lattice parameters (Å, degrees): 5.2996 5.4945 7.8293 90.00 90.87 90.00
Sites, in units of the cell vectors:
O 0.1308 0.5929 0.2339
O 0.8692 0.4071 0.7661
O 0.8310 0.1831 0.0851
O 0.3249 0.3320 0.9475
O 0.3692 0.0929 0.2661
O 0.1751 0.8320 0.5525
O 0.1690 0.8169 0.9149
O 0.6308 0.9071 0.7339
O 0.8249 0.1680 0.4475
O 0.6751 0.6680 0.0525
O 0.6690 0.6831 0.4149
O 0.3310 0.3169 0.5851
Ga 0.0000 0.5000 0.0000
Ga 0.5000 0.0000 0.5000
Mg 0.0082 0.9600 0.2663
Mg 0.5082 0.5400 0.7663
Mg 0.4918 0.4600 0.2337
Mg 0.9918 0.0400 0.7337
Np 0.5000 0.0000 0.0000
Np 0.0000 0.5000 0.5000



(11)
MgNpGa2O8 | PBE-GGA | relaxed

Computed properties:
As for the space-group type: I-4m2 (119). The value obtained for the total energy is -6.8762 eV/atom. The value obtained for the spin magnetization is 0.08 μB per atom. The calculation puts the formation energy from raw total energies at -179.0 kJ/mol of atoms.

Lattice parameters (Å, degrees): 5.8004 5.8004 5.8004 109.31 109.31 109.80
Sites, in units of the cell vectors:
O 0.9492 0.6440 0.6948
O 0.4757 0.6813 0.7944
O 0.3560 0.0508 0.3052
O 0.3187 0.1130 0.7944
O 0.3187 0.5243 0.2056
O 0.9492 0.2543 0.3052
O 0.8870 0.6813 0.2056
O 0.7457 0.0508 0.6948
Ga 0.5000 0.5000 0.0000
Ga 0.7500 0.2500 0.5000
Np 0.2500 0.7500 0.5000
Mg 0.0000 0.0000 0.0000



(12)
MgNpGaOs | PBE-GGA | relaxed

Computed properties:
As for the space-group type: F-43m (216). The value obtained for the total energy is -7.0489 eV/atom. The value obtained for the spin magnetization is 0.81 μB per atom. The calculated formation energy is 0.15 eV per atom.

Lattice parameters (Å, degrees): 4.7220 4.7220 4.7220 60.00 60.00 60.00
Sites, in units of the cell vectors:
Ga 0.2500 0.2500 0.2500
Os 0.7500 0.7500 0.7500
Mg 0.0000 0.0000 0.0000
Np 0.5000 0.5000 0.5000